# Sr2InPb (GGA-PBE, optimized geometry)
data_Sr2InPb
_space_group_name_H-M_alt 'P m m 2'
_space_group_IT_number 25
_cell_length_a 3.884
_cell_length_b 5.678
_cell_length_c 6.883
_cell_angle_alpha 90.00
_cell_angle_beta 90.00
_cell_angle_gamma 90.00
loop_
_space_group_symop_operation_xyz
'x,y,z'
'-x,-y,z'
'-x,y,z'
'x,-y,z'
loop_
_atom_site_label
_atom_site_type_symbol
_atom_site_fract_x
_atom_site_fract_y
_atom_site_fract_z
Sr1 Sr 0.000 0.000 0.000
Sr2 Sr 0.500 0.500 0.425
In1 In 0.000 0.000 0.503
Pb1 Pb 0.500 0.500 0.917
# - Relative energy among the computed polymorphs: 278 meV/atom
# - M_tot: 0.0 μB/f.u.

=====

# Sr3In6Pb5 (GGA-PBE, optimized geometry)
data_Sr3In6Pb5
_space_group_name_H-M_alt 'P m m n'
_space_group_IT_number 59
_cell_length_a 5.336
_cell_length_b 14.116
_cell_length_c 11.795
_cell_angle_alpha 90.00
_cell_angle_beta 90.00
_cell_angle_gamma 90.00
loop_
_space_group_symop_operation_xyz
'x,y,z'
'-x,-y,-z'
'-x+1/2,-y+1/2,z'
'x+1/2,y+1/2,-z'
'x+1/2,-y,-z'
'-x+1/2,y,z'
'-x,y+1/2,-z'
'x,-y+1/2,z'
loop_
_atom_site_label
_atom_site_type_symbol
_atom_site_fract_x
_atom_site_fract_y
_atom_site_fract_z
Sr1 Sr 0.250 0.048 0.250
Sr2 Sr 0.250 0.750 0.249
In1 In 0.250 0.110 0.619
In2 In 0.250 0.250 0.077
In3 In 0.250 0.250 0.424
In4 In 0.250 0.610 0.975
Pb1 Pb 0.250 0.099 0.879
Pb2 Pb 0.250 0.600 0.522
Pb3 Pb 0.250 0.750 0.754
# - E: -3.113 eV/atom
# - M_tot: 0.0 μB/f.u.

=====

# SrIn6Pb (GGA-PBE, optimized geometry)
data_SrIn6Pb
_space_group_name_H-M_alt 'P 4/m m m'
_space_group_IT_number 123
_space_group_name_Hall '-P 4 2'
_cell_length_a 7.197
_cell_length_b 7.197
_cell_length_c 4.466
_cell_angle_alpha 90.00
_cell_angle_beta 90.00
_cell_angle_gamma 90.00
loop_
_atom_site_label
_atom_site_type_symbol
_atom_site_fract_x
_atom_site_fract_y
_atom_site_fract_z
Sr1 Sr 0.000 0.000 0.000
In1 In 0.000 0.500 0.000
In2 In 0.259 0.259 0.500
Pb1 Pb 0.500 0.500 0.000
# - E: -2.865 eV/atom
# - M_tot: 0.0 μB/f.u.

=====

# SrIn6Pb12 (GGA-PBE, optimized geometry)
data_SrIn6Pb12
_space_group_name_H-M_alt 'R -3'
_space_group_IT_number 148
_space_group_name_Hall '-R 3'
_cell_length_a 11.7913
_cell_length_b 11.7913
_cell_length_c 14.8151
_cell_angle_alpha 90.00
_cell_angle_beta 90.00
_cell_angle_gamma 120.00
loop_
_atom_site_label
_atom_site_type_symbol
_atom_site_fract_x
_atom_site_fract_y
_atom_site_fract_z
Sr1 Sr 0.0000 0.0000 0.0000
In1 In 0.0168 0.5836 0.7007
Pb1 Pb 0.0211 0.8303 0.8140
Pb2 Pb 0.0620 0.2074 0.4108
# - Relative energy among the computed polymorphs: 0 meV/atom
# - M_tot: 0.0 μB/f.u.